{"formula": "TaOs2Se", "functional": "GGA-PBE", "state": "relaxed", "lattice": [[5.0978, 0.0050, -0.0100], [4.2359, 2.8363, -0.0100], [0.2265, 0.0689, 4.4803]], "species": ["Os", "Se", "Ta", "Os"], "fractional_positions": [[0.9730, 0.9730, 0.0184], [0.7500, 0.7500, 0.7500], [0.2500, 0.2500, 0.2500], [0.5270, 0.5270, 0.4816]], "formation_energy_uncorrected_ev_per_atom": 0.24, "total_energy_ev_per_fu": -36.8}

***

{"formula": "TaOsSe", "functional": "GGA-PBE", "state": "relaxed", "lattice": [[4.2995, 0.0000, 0.0000], [-2.1498, 3.7235, 0.0000], [0.0000, 0.0000, 3.0238]], "species": ["Os", "Se", "Ta"], "fractional_positions": [[0.0000, 0.0000, 0.1646], [0.3333, 0.6667, 0.1681], [0.6667, 0.3333, 0.6672]], "formation_energy_uncorrected_ev_per_atom": 0.05, "relative_energy_ev_per_atom": 0.000, "total_energy_ev_per_fu": -26.4}

***

{"formula": "TaOs2Se", "functional": "GGA-PBE", "state": "relaxed", "lattice": [[-3.9266, 0.1786, 1.4058], [-0.9202, -1.4932, -2.3807], [0.2018, -5.2057, 1.2248]], "species": ["Os", "Se", "Ta", "Os"], "fractional_positions": [[0.0000, 0.3767, 0.4867], [0.5000, 0.2500, 0.2500], [0.5000, 0.7500, 0.7500], [0.0000, 0.1233, 0.0133]], "formation_energy_uncorrected_ev_per_atom": 0.27, "total_energy_ev_per_fu": -36.7}

***

{"formula": "TaOs3Se", "functional": "GGA-PBE", "state": "relaxed", "lattice": [[-0.0501, -4.7642, -0.6476], [0.9296, 0.6259, -4.6758], [4.7173, -0.1739, 0.9145]], "species": ["Se", "Os", "Os", "Ta", "Os"], "fractional_positions": [[0.5000, 0.5000, 0.5000], [0.5000, 0.0000, 0.0000], [0.0000, 0.5000, 0.0000], [0.0000, 0.0000, 0.0000], [0.0000, 0.0000, 0.5000]], "formation_energy_uncorrected_ev_per_atom": 2.42, "relative_energy_ev_per_atom": 0.766, "total_energy_ev_per_fu": -36.9}

***

{"formula": "TaOs3Se", "functional": "GGA-PBE", "state": "relaxed", "lattice": [[-1.5828, -4.0431, -1.1764], [2.6283, 0.0333, -3.6506], [3.2898, -1.9718, 2.3506]], "species": ["Os", "Os", "Se", "Ta", "Os"], "fractional_positions": [[0.0000, 0.5000, 0.0000], [0.0000, 0.0000, 0.5000], [0.0000, 0.0000, 0.0000], [0.5000, 0.5000, 0.5000], [0.5000, 0.0000, 0.0000]], "formation_energy_uncorrected_ev_per_atom": 1.65, "relative_energy_ev_per_atom": 0.000, "total_energy_ev_per_fu": -40.8}

***

{"formula": "TaOs2Se", "functional": "GGA-PBE", "state": "relaxed", "lattice": [[8.6249, -0.0049, -0.0029], [8.1168, 2.9165, -0.0029], [8.1168, 1.4116, 2.5521]], "species": ["Se", "Ta", "Os", "Os"], "fractional_positions": [[0.2500, 0.2500, 0.2500], [0.7500, 0.7500, 0.7500], [0.9994, 0.9994, 0.9994], [0.5006, 0.5006, 0.5006]], "formation_energy_uncorrected_ev_per_atom": 0.28, "total_energy_ev_per_fu": -36.7}

***

{"formula": "TaOs2Se", "functional": "GGA-PBE", "state": "relaxed", "lattice": [[2.8457, 0.0052, 0.0000], [-1.1565, 2.6001, 0.0000], [0.0000, 0.0000, 8.9389]], "species": ["Se", "Os", "Ta", "Os"], "fractional_positions": [[0.5000, 0.5000, 0.2500], [0.0000, 0.0000, 0.5146], [0.5000, 0.5000, 0.7500], [0.0000, 0.0000, 0.9854]], "formation_energy_uncorrected_ev_per_atom": 0.48, "total_energy_ev_per_fu": -35.9}

***

{"formula": "TaOsSe", "functional": "GGA-PBE", "state": "relaxed", "lattice": [[4.6916, -0.0003, 0.0003], [1.8741, 4.3010, -0.0003], [-2.8751, -2.7728, 2.4609]], "species": ["Os", "Ta", "Se"], "fractional_positions": [[0.0050, 0.0050, 0.0000], [0.6632, 0.6632, 0.0000], [0.3318, 0.3318, 0.0000]], "formation_energy_uncorrected_ev_per_atom": 0.25, "relative_energy_ev_per_atom": 0.193, "total_energy_ev_per_fu": -25.8}

***

{"formula": "TaOs2Se", "functional": "GGA-PBE", "state": "relaxed", "lattice": [[4.7604, -0.1801, 0.0000], [1.3891, 4.5567, 0.0000], [-3.0747, -2.1883, 2.9070]], "species": ["Os", "Os", "Se", "Ta"], "fractional_positions": [[0.5000, 0.5000, 0.0000], [0.0000, 0.0000, 0.0000], [0.2500, 0.7500, 0.5000], [0.7500, 0.2500, 0.5000]], "formation_energy_uncorrected_ev_per_atom": 0.45, "total_energy_ev_per_fu": -36.0}

***

{"formula": "TaTeOsSe2", "functional": "GGA-PBE", "state": "relaxed", "lattice": [[4.7303, 0.0000, 0.0000], [0.0000, 5.3092, 0.0000], [0.0000, 0.0000, 4.7303]], "species": ["Os", "Te", "Se", "Se", "Ta"], "fractional_positions": [[0.0000, 0.0000, 0.0000], [0.0000, 0.5000, 0.0000], [0.0000, 0.0000, 0.5000], [0.5000, 0.0000, 0.0000], [0.5000, 0.5000, 0.5000]], "formation_energy_uncorrected_ev_per_atom": 1.19, "total_energy_ev_per_fu": -27.2}

***

{"formula": "TaTlOsSe2", "functional": "GGA-PBE", "state": "relaxed", "lattice": [[4.7598, 0.0000, 0.0000], [0.0000, 5.2910, 0.0000], [0.0000, 0.0000, 4.7598]], "species": ["Tl", "Os", "Ta", "Se", "Se"], "fractional_positions": [[0.0000, 0.5000, 0.0000], [0.0000, 0.0000, 0.0000], [0.5000, 0.5000, 0.5000], [0.5000, 0.0000, 0.0000], [0.0000, 0.0000, 0.5000]], "formation_energy_uncorrected_ev_per_atom": 1.41, "total_energy_ev_per_fu": -25.4}

***

{"formula": "TaVOsSe2", "functional": "GGA-PBE", "state": "relaxed", "lattice": [[4.8415, 0.0000, 0.0000], [0.0000, 4.6204, 0.0000], [0.0000, 0.0000, 4.8415]], "species": ["V", "Ta", "Se", "Se", "Os"], "fractional_positions": [[0.0000, 0.5000, 0.0000], [0.0000, 0.0000, 0.0000], [0.5000, 0.0000, 0.0000], [0.0000, 0.0000, 0.5000], [0.5000, 0.5000, 0.5000]], "formation_energy_uncorrected_ev_per_atom": 1.64, "total_energy_ev_per_fu": -31.0}

***

{"formula": "TcOsSe2", "functional": "GGA-PBE", "state": "relaxed", "lattice": [[-1.1289, -2.2588, 1.8534], [0.8493, -2.1548, -2.1088], [5.5760, -0.5135, 2.7705]], "species": ["Os", "Se", "Se", "Tc"], "fractional_positions": [[0.5000, 0.5000, 0.7500], [0.0000, 0.0000, 0.4955], [0.0000, 0.0000, 0.0045], [0.5000, 0.5000, 0.2500]], "formation_energy_uncorrected_ev_per_atom": 0.50, "relative_energy_ev_per_atom": 0.432, "total_energy_ev_per_fu": -26.6}

***

{"formula": "TcOsSe2", "functional": "GGA-PBE", "state": "relaxed", "lattice": [[0.5136, -4.3929, 0.0895], [1.5231, -1.9749, 3.6537], [-2.7042, -2.4935, 2.4575]], "species": ["Tc", "Se", "Se", "Os"], "fractional_positions": [[0.0000, 0.0000, 0.0000], [0.7500, 0.7500, 0.7500], [0.2500, 0.2500, 0.2500], [0.5000, 0.5000, 0.5000]], "formation_energy_uncorrected_ev_per_atom": 0.50, "relative_energy_ev_per_atom": 0.431, "total_energy_ev_per_fu": -26.6}

***

{"formula": "TcOs2Se", "functional": "GGA-PBE", "state": "relaxed", "lattice": [[3.9418, 0.0000, 0.0000], [0.0000, 2.8492, -0.0002], [0.0000, 1.4262, 5.2838]], "species": ["Se", "Os", "Tc", "Os"], "fractional_positions": [[0.0000, 0.2939, 0.5354], [0.5000, 0.4433, 0.2392], [0.5000, 0.6975, 0.7306], [0.0000, 0.0653, 0.9948]], "formation_energy_uncorrected_ev_per_atom": 0.40, "total_energy_ev_per_fu": -34.7}